(1)
{"formula": "Ta2Nb4Zn3C3", "functional": "PBE", "state": "relaxed", "crystal_system": "monoclinic", "spacegroup": "C2/c (15)", "e_tot_ev_per_atom": -8.33, "cell": [[4.7138, -2.7226, 0.0000], [4.7138, 2.7226, 0.0000], [-3.1524, 0.0000, 13.7194]], "species": ["C", "C", "C", "C", "C", "C", "Nb", "Nb", "Nb", "Nb", "Nb", "Nb", "Nb", "Nb", "Ta", "Ta", "Ta", "Ta", "Zn", "Zn", "Zn", "Zn", "Zn", "Zn"], "fractional_positions": [[0.5000, 0.0000, 0.0000], [0.8301, 0.3349, 0.0000], [0.1699, 0.6651, 0.0000], [0.3349, 0.8301, 0.5000], [0.0000, 0.5000, 0.5000], [0.6651, 0.1699, 0.5000], [0.1943, 0.0318, 0.0892], [0.8648, 0.6964, 0.0893], [0.3036, 0.1352, 0.4107], [0.9682, 0.8057, 0.4108], [0.0318, 0.1943, 0.5892], [0.6964, 0.8648, 0.5893], [0.1352, 0.3036, 0.9107], [0.8057, 0.9682, 0.9108], [0.5288, 0.3605, 0.0867], [0.6395, 0.4712, 0.4133], [0.3605, 0.5288, 0.5867], [0.4712, 0.6395, 0.9133], [0.5822, 0.7360, 0.2496], [0.9012, 0.0988, 0.2500], [0.2640, 0.4178, 0.2504], [0.7360, 0.5822, 0.7496], [0.0988, 0.9012, 0.7500], [0.4178, 0.2640, 0.7504]]}

---

(2)
{"formula": "Ta4Nb2Zn3C3", "functional": "PBE", "state": "relaxed", "crystal_system": "monoclinic", "spacegroup": "C2/c (15)", "e_tot_ev_per_atom": -8.64, "cell": [[2.4952, 1.8392, -4.4521], [-2.6045, 3.3477, -3.3822], [4.7165, 9.0716, 9.6901]], "species": ["C", "C", "C", "C", "C", "C", "Nb", "Nb", "Nb", "Nb", "Ta", "Ta", "Ta", "Ta", "Ta", "Ta", "Ta", "Ta", "Zn", "Zn", "Zn", "Zn", "Zn", "Zn"], "fractional_positions": [[0.5000, 0.0000, 0.0000], [0.8351, 0.3326, 0.0000], [0.1649, 0.6674, 0.0000], [0.3326, 0.8351, 0.5000], [0.0000, 0.5000, 0.5000], [0.6674, 0.1649, 0.5000], [0.5305, 0.3657, 0.0914], [0.6343, 0.4695, 0.4086], [0.3657, 0.5305, 0.5914], [0.4695, 0.6343, 0.9086], [0.8602, 0.6959, 0.0872], [0.1977, 0.0269, 0.0872], [0.9731, 0.8023, 0.4128], [0.3041, 0.1398, 0.4128], [0.6959, 0.8602, 0.5872], [0.0269, 0.1977, 0.5872], [0.8023, 0.9731, 0.9128], [0.1398, 0.3041, 0.9128], [0.2226, 0.4162, 0.2494], [0.9439, 0.0561, 0.2500], [0.5838, 0.7774, 0.2506], [0.4162, 0.2226, 0.7494], [0.0561, 0.9439, 0.7500], [0.7774, 0.5838, 0.7506]]}

---

(3)
{"formula": "TbNb3Te2C2", "functional": "PBE", "state": "relaxed", "crystal_system": "trigonal", "spacegroup": "P3m1 (156)", "e_tot_ev_per_atom": -7.94, "cell": [[3.5069, 0.0000, 0.0000], [-1.7535, 3.0371, 0.0000], [0.0000, 0.0000, 13.2445]], "species": ["C", "C", "Nb", "Nb", "Nb", "Tb", "Te", "Te"], "fractional_positions": [[0.0000, 0.0000, 0.5063], [0.0000, 0.0000, 0.9791], [0.3333, 0.6667, 0.4268], [0.6667, 0.3333, 0.5818], [0.6667, 0.3333, 0.9035], [0.3333, 0.6667, 0.0866], [0.6667, 0.3333, 0.2711], [0.3333, 0.6667, 0.7448]]}

---

(4)
{"formula": "TbNbTeC", "functional": "PBE", "state": "relaxed", "crystal_system": "trigonal", "spacegroup": "P-3m1 (164)", "e_tot_ev_per_atom": -7.36, "cell": [[3.6076, 0.0000, 0.0000], [-1.8038, 3.1243, 0.0000], [0.0000, 0.0000, 13.5819]], "species": ["C", "C", "Nb", "Nb", "Tb", "Tb", "Te", "Te"], "fractional_positions": [[0.0000, 0.0000, 0.0000], [0.0000, 0.0000, 0.5000], [0.3333, 0.6667, 0.0738], [0.6667, 0.3333, 0.9262], [0.3333, 0.6667, 0.4006], [0.6667, 0.3333, 0.5994], [0.6667, 0.3333, 0.2238], [0.3333, 0.6667, 0.7762]]}

---

What are the calculated volume values for these records? In order: 352.15 350.07 141.07 153.08 Å³/cell.